Computed, not measured: a relaxed structure of MnVO2F at the PBE+U level of DFT.

For the magnetic moment, the calculation gives 5.783 μB/f.u. The value obtained for the total energy is -34.19 eV/cell.

It has space group P4/mmm (No. 123), with a = 3.9314 Å, b = 3.9314 Å, c = 3.8309 Å, α = 90.00°, β = 90.00° and γ = 90.00°. The distinct sites, in fractional coordinates, are Mn at (0.0000, 0.0000, 0.0000), V at (0.5000, 0.5000, 0.5000), O at (0.0000, 0.5000, 0.5000) and F at (0.5000, 0.5000, 0.0000).